No. 1
Crystalline NpZn9Cd2 at its relaxed geometry, computed with PBE.

Total magnetic moment = 4.41 Bohr magnetons per cell
N(E_F) = 10.56 states/eV/f.u.
Formation energy = 0.03 eV/atom

The structure in CIF format:
```
data_NpZn9Cd2
_space_group_name_H-M_alt 'P 1'
_space_group_IT_number 1
_space_group_name_Hall 'P 1'
_cell_length_a 8.972
_cell_length_b 8.972
_cell_length_c 8.972
_cell_angle_alpha 34.59
_cell_angle_beta 34.59
_cell_angle_gamma 34.59
loop_
_atom_site_label
_atom_site_type_symbol
_atom_site_fract_x
_atom_site_fract_y
_atom_site_fract_z
Np1 Np 0.000 0.000 0.000
Zn1 Zn 0.081 0.587 0.587
Zn2 Zn 0.333 0.333 0.333
Zn3 Zn 0.413 0.413 0.919
Zn4 Zn 0.413 0.919 0.413
Zn5 Zn 0.500 0.500 0.500
Zn6 Zn 0.587 0.081 0.587
Zn7 Zn 0.587 0.587 0.081
Zn8 Zn 0.667 0.667 0.667
Zn9 Zn 0.919 0.413 0.413
Cd1 Cd 0.137 0.137 0.137
Cd2 Cd 0.863 0.863 0.863
```

***

No. 2
Crystalline NpZnCd at its relaxed geometry, computed with PBE.

Total magnetic moment = 8.33 Bohr magnetons per cell
N(E_F) = 3.20 states/eV/f.u.
Formation energy = 0.21 eV/atom

The structure in CIF format:
```
data_NpZnCd
_space_group_name_H-M_alt 'P 1'
_space_group_IT_number 1
_space_group_name_Hall 'P 1'
_cell_length_a 7.207
_cell_length_b 6.593
_cell_length_c 4.803
_cell_angle_alpha 76.69
_cell_angle_beta 62.89
_cell_angle_gamma 40.43
loop_
_atom_site_label
_atom_site_type_symbol
_atom_site_fract_x
_atom_site_fract_y
_atom_site_fract_z
Np1 Np 0.164 0.836 0.164
Np2 Np 0.836 0.164 0.836
Zn1 Zn 0.387 0.387 0.613
Zn2 Zn 0.613 0.613 0.387
Cd1 Cd 0.250 0.250 0.250
Cd2 Cd 0.750 0.750 0.750
```

***

No. 3
Crystalline NpZnCd at its relaxed geometry, computed with PBE.

Total magnetic moment = 4.26 Bohr magnetons per cell
N(E_F) = 5.18 states/eV/f.u.
Formation energy = 0.16 eV/atom

The structure in CIF format:
```
data_NpZnCd
_space_group_name_H-M_alt 'P 1'
_space_group_IT_number 1
_space_group_name_Hall 'P 1'
_cell_length_a 7.276
_cell_length_b 7.276
_cell_length_c 7.276
_cell_angle_alpha 156.46
_cell_angle_beta 156.46
_cell_angle_gamma 33.53
loop_
_atom_site_label
_atom_site_type_symbol
_atom_site_fract_x
_atom_site_fract_y
_atom_site_fract_z
Np1 Np 0.000 0.000 0.000
Zn1 Zn 0.663 0.663 0.000
Cd1 Cd 0.312 0.312 0.000
```

***

No. 4
Crystalline Zr2NpCd at its relaxed geometry, computed with PBE.

Total magnetic moment = 3.60 Bohr magnetons per cell
ΔE to the lowest computed polymorph = 64.9 meV/atom
N(E_F) = 6.68 states/eV/f.u.
Formation energy = 0.20 eV/atom

The structure in CIF format:
```
data_Zr2NpCd
_space_group_name_H-M_alt 'P 1'
_space_group_IT_number 1
_space_group_name_Hall 'P 1'
_cell_length_a 11.168
_cell_length_b 11.168
_cell_length_c 11.168
_cell_angle_alpha 15.81
_cell_angle_beta 15.81
_cell_angle_gamma 15.81
loop_
_atom_site_label
_atom_site_type_symbol
_atom_site_fract_x
_atom_site_fract_y
_atom_site_fract_z
Zr1 Zr 0.247 0.247 0.247
Zr2 Zr 0.753 0.753 0.753
Np1 Np 0.000 0.000 0.000
Cd1 Cd 0.500 0.500 0.500
```

***

No. 5
Crystalline Zr2NpCd at its relaxed geometry, computed with PBE.

Total magnetic moment = 4.14 Bohr magnetons per cell
ΔE to the lowest computed polymorph = 20.6 meV/atom
N(E_F) = 7.48 states/eV/f.u.
Formation energy = 0.16 eV/atom

The structure in CIF format:
```
data_Zr2NpCd
_space_group_name_H-M_alt 'P 1'
_space_group_IT_number 1
_space_group_name_Hall 'P 1'
_cell_length_a 5.233
_cell_length_b 5.233
_cell_length_c 3.229
_cell_angle_alpha 90.00
_cell_angle_beta 90.00
_cell_angle_gamma 90.00
loop_
_atom_site_label
_atom_site_type_symbol
_atom_site_fract_x
_atom_site_fract_y
_atom_site_fract_z
Zr1 Zr 0.000 0.500 0.000
Zr2 Zr 0.500 0.000 0.000
Np1 Np 0.000 0.000 0.500
Cd1 Cd 0.500 0.500 0.500
```

***

No. 6
Crystalline Zr2NpCd at its relaxed geometry, computed with PBE.

Total magnetic moment = 3.09 Bohr magnetons per cell
ΔE to the lowest computed polymorph = 0.0 meV/atom
N(E_F) = 7.34 states/eV/f.u.
Formation energy = 0.13 eV/atom

The structure in CIF format:
```
data_Zr2NpCd
_space_group_name_H-M_alt 'P 1'
_space_group_IT_number 1
_space_group_name_Hall 'P 1'
_cell_length_a 3.007
_cell_length_b 3.007
_cell_length_c 9.811
_cell_angle_alpha 90.00
_cell_angle_beta 90.00
_cell_angle_gamma 90.00
loop_
_atom_site_label
_atom_site_type_symbol
_atom_site_fract_x
_atom_site_fract_y
_atom_site_fract_z
Zr1 Zr 0.000 0.000 0.246
Zr2 Zr 0.000 0.000 0.754
Np1 Np 0.500 0.500 0.500
Cd1 Cd 0.500 0.500 0.000
```

***

Question: What is the formation energy in the sixth record?
Answer: 0.13 eV/atom